Entry 1:
A plane-wave DFT calculation with GGA-PBEsol was carried out for a relaxed SrScSe2 crystal.

Computed properties:
Uncorrected formation energy   -1.62 eV per atom
Energy relative to the lowest polymorph listed for this composition   0.79 eV per formula unit

Unit cell a=3.6811 b=3.7884 c=7.4676 alpha=104.69 beta=104.27 gamma=90.00
Fractional positions:
Sc  0.2956  0.7956  0.5912
Se  0.9382  0.9382  0.8764
Se  0.7214  0.2214  0.4427
Sr  0.5448  0.5448  0.0897

Entry 2:
A plane-wave DFT calculation with GGA-PBEsol was carried out for a relaxed Sr2ScSe crystal.

Computed properties:
Uncorrected formation energy   -0.64 eV per atom

Unit cell a=3.6876 b=3.6876 c=9.2386 alpha=90.00 beta=90.00 gamma=90.00
Fractional positions:
Sc  0.0000  0.0000  0.5749
Se  0.5000  0.5000  0.6877
Sr  0.0000  0.0000  0.9391
Sr  0.5000  0.5000  0.2983

Entry 3:
A plane-wave DFT calculation with GGA-PBEsol was carried out for a relaxed SrScSe2 crystal.

Computed properties:
Uncorrected formation energy   -1.42 eV per atom
Energy relative to the lowest polymorph listed for this composition   1.61 eV per formula unit

Unit cell a=3.5294 b=5.0560 c=5.0560 alpha=90.00 beta=90.15 gamma=90.15
Fractional positions:
Sc  0.5000  0.5000  0.5000
Se  0.0000  0.5000  0.0000
Se  0.0000  0.0000  0.5000
Sr  0.5000  0.0000  0.0000

Entry 4:
A plane-wave DFT calculation with GGA-PBEsol was carried out for a relaxed SrScSe2 crystal.

Computed properties:
Uncorrected formation energy   -1.82 eV per atom
Energy relative to the lowest polymorph listed for this composition   0.00 eV per formula unit

Unit cell a=4.0231 b=4.0231 c=7.1905 alpha=73.75 beta=73.75 gamma=60.00
Fractional positions:
Sc  0.0000  0.0000  0.0000
Sr  0.5000  0.5000  0.5000
Se  0.2609  0.2609  0.2173
Se  0.7391  0.7391  0.7827

Entry 5:
A plane-wave DFT calculation with GGA-PBEsol was carried out for a relaxed SrScSe2 crystal.

Computed properties:
Uncorrected formation energy   -0.53 eV per atom
Energy relative to the lowest polymorph listed for this composition   5.17 eV per formula unit

Unit cell a=5.0382 b=5.0382 c=5.0382 alpha=60.00 beta=60.00 gamma=60.00
Fractional positions:
Sc  0.5000  0.5000  0.5000
Se  0.0000  0.0000  0.0000
Se  0.7500  0.7500  0.7500
Sr  0.2500  0.2500  0.2500

Entry 6:
A plane-wave DFT calculation with GGA-PBEsol was carried out for a relaxed Sr2ScSe crystal.

Computed properties:
Uncorrected formation energy   -0.64 eV per atom

Unit cell a=4.0188 b=4.0164 c=10.1825 alpha=101.42 beta=90.00 gamma=120.02
Fractional positions:
Sc  0.0000  0.0000  0.5000
Se  0.5000  0.0000  0.0000
Sr  0.7684  0.5368  0.8056
Sr  0.2316  0.4632  0.1944

Entry 7:
A plane-wave DFT calculation with GGA-PBEsol was carried out for a relaxed Sc2TaSe crystal.

Computed properties:
Uncorrected formation energy   -0.50 eV per atom

Unit cell a=3.1819 b=3.1819 c=7.8117 alpha=90.00 beta=90.00 gamma=101.78
Fractional positions:
Sc  0.0000  0.0000  0.2674
Sc  0.0000  0.0000  0.7326
Se  0.5000  0.5000  0.5000
Ta  0.5000  0.5000  0.0000

Entry 8:
A plane-wave DFT calculation with GGA-PBEsol was carried out for a relaxed ScTaSe crystal.

Computed properties:
Uncorrected formation energy   -0.47 eV per atom
Energy relative to the lowest polymorph listed for this composition   0.00 eV per formula unit

Unit cell a=3.2494 b=3.2494 c=5.7807 alpha=106.32 beta=106.32 gamma=90.00
Fractional positions:
Sc  0.0044  0.0044  0.0088
Se  0.6871  0.6871  0.3743
Ta  0.3085  0.3085  0.6170

What is the uncorrected formation energy in the fourth record? -1.82 eV per atom